{
  "formula": "Cs6K3Au2O",
  "functional": "PBE",
  "state": "optimized geometry",
  "raw_formation_energy_ev_per_atom": -0.359,
  "spacegroup": "C2/m",
  "vol_a3_per_atom": 65.17,
  "cell": [[8.622, 0.001, -0.001], [-4.308, 7.468, -0.001], [-1.441, -2.496, 12.144]],
  "species": ["Cs", "Cs", "Cs", "Cs", "Cs", "Cs", "K", "K", "K", "Au", "Au", "O"],
  "fractional_positions": [[0.952, 0.674, 0.857], [0.771, 0.771, 0.143], [0.048, 0.326, 0.143], [0.674, 0.952, 0.857], [0.229, 0.229, 0.857], [0.326, 0.048, 0.143], [0.172, 0.828, 0.500], [0.828, 0.172, 0.500], [0.500, 0.500, 0.500], [0.334, 0.666, 0.000], [0.666, 0.334, 0.000], [0.000, 0.000, 0.000]]
}